No. 1
! Sr2In3, optimized geometry, DFT GGA-PBE; values from VASP
&SYSTEM
  ibrav = 0, nat = 10, ntyp = 2
/
ATOMIC_SPECIES
Sr 87.62 Sr.upf
In 114.82 In.upf
CELL_PARAMETERS angstrom
3.1680 -5.8793 0.0000
3.1680 5.8793 0.0000
0.0000 0.0000 8.9116
ATOMIC_POSITIONS crystal
Sr 0.1532 0.8468 0.8993
Sr 0.3468 0.6532 0.3993
Sr 0.6532 0.3468 0.6007
Sr 0.8468 0.1532 0.1007
In 0.0000 0.0000 0.5000
In 0.1395 0.3605 0.7500
In 0.3605 0.1395 0.2500
In 0.5000 0.5000 0.0000
In 0.6395 0.8605 0.7500
In 0.8605 0.6395 0.2500
! Crystal system ... orthorhombic
! Fermi-level density of states ... 3.04 states/eV/f.u.
! DFT formation energy ... -0.3886 eV per atom
! Magnetic moment ... 0.00 μB per formula unit
! Calculated volume ... 33.196 Å³/atom
! DFT total energy ... -2.704 eV/atom

***

No. 2
! Sm2Y3Tm6, optimized geometry, DFT GGA-PBE; values from VASP
&SYSTEM
  ibrav = 0, nat = 11, ntyp = 3
/
ATOMIC_SPECIES
Sm 150.36 Sm.upf
Y 88.91 Y.upf
Tm 168.93 Tm.upf
CELL_PARAMETERS angstrom
-2.3542 2.3542 16.4193
2.3542 -2.3542 16.4193
2.3542 2.3542 -16.4193
ATOMIC_POSITIONS crystal
Sm 0.0462 0.0462 0.0000
Sm 0.9538 0.9538 0.0000
Y 0.2967 0.2967 0.0000
Y 0.5000 0.5000 0.0000
Y 0.7033 0.7033 0.0000
Tm 0.1212 0.6212 0.5000
Tm 0.1923 0.1923 0.0000
Tm 0.3788 0.8788 0.5000
Tm 0.6212 0.1212 0.5000
Tm 0.8077 0.8077 0.0000
Tm 0.8788 0.3788 0.5000
! Crystal system ... tetragonal
! Fermi-level density of states ... 17.55 states/eV/f.u.
! DFT formation energy ... 0.2676 eV per atom
! Offset from the most stable computed form ... 69 meV per atom
! Magnetic moment ... 0.00 μB per formula unit
! Calculated volume ... 33.090 Å³/atom
! DFT total energy ... -4.792 eV/atom

***

No. 3
! TbNd4Sm2Dy, optimized geometry, DFT GGA-PBE; values from VASP
&SYSTEM
  ibrav = 0, nat = 8, ntyp = 4
/
ATOMIC_SPECIES
Tb 158.93 Tb.upf
Nd 144.24 Nd.upf
Sm 150.36 Sm.upf
Dy 162.50 Dy.upf
CELL_PARAMETERS angstrom
5.1428 0.0000 0.0000
0.0000 5.1610 0.0000
-0.0185 0.0000 10.2299
ATOMIC_POSITIONS crystal
Tb 0.0000 0.0000 0.0000
Nd 0.0004 0.5000 0.2507
Nd 0.9996 0.5000 0.7493
Nd 0.5001 0.0000 0.2500
Nd 0.4999 0.0000 0.7500
Sm 0.0000 0.0000 0.5000
Sm 0.5000 0.5000 0.0000
Dy 0.5000 0.5000 0.5000
! Crystal system ... monoclinic
! Fermi-level density of states ... 10.95 states/eV/f.u.
! DFT formation energy ... 0.0132 eV per atom
! Magnetic moment ... 0.00 μB per formula unit
! Calculated volume ... 33.940 Å³/atom
! DFT total energy ... -4.705 eV/atom

***

Look up the DFT total energy of the third one.
-4.705 eV/atom